Here is a PBEsol-optimized structure of YTl2Cu from Alexandria via LeMat-Bulk. Energies are from SCAN.

**M_tot**: 0.000 μB/atom
**E_form**: -0.1041 eV per atom
**DOS at the Fermi energy**: 0.5071 states/eV per atom
**Symmetry**: I-4m2

Unit cell a=5.424 b=5.424 c=5.424 alpha=130.88 beta=130.88 gamma=72.01
Fractional coordinates of all 4 atoms:
Y1 0.000 0.000 0.000
Tl1 0.250 0.750 0.500
Tl2 0.500 0.500 0.000
Cu1 0.750 0.250 0.500